(1)
Crystalline TlCd4In2Hg2 at its relaxed geometry. Source: the Alexandria database, functional PBE-GGA.

Cell lengths 3.292, 3.292, 24.403 Å; angles 90.00, 90.00, 120.00 degrees
Fractional positions:
Cd 0.000 0.000 0.555
Hg 0.000 0.000 0.976
In 0.667 0.333 0.446
Cd 0.667 0.333 0.870
In 0.667 0.333 0.203
Cd 0.000 0.000 0.765
Hg 0.667 0.333 0.660
Cd 0.667 0.333 0.081
Tl 0.000 0.000 0.322

Summary:
Total energy (eV per cell): -11.7
Formation enthalpy at 0 K (eV per atom): 0.0492
Total magnetization (μB per formula unit): 0.0
DOS at the Fermi energy (states/eV per cell): 3.5



(2)
Crystalline TlCd2InHg2 at its relaxed geometry. Source: the Alexandria database, functional PBE-GGA.

Cell lengths 4.406, 4.406, 10.582 Å; angles 77.99, 77.99, 60.00 degrees
Fractional positions:
In 0.000 0.000 0.000
Hg 0.614 0.614 0.157
Cd 0.229 0.229 0.314
Cd 0.771 0.771 0.686
Hg 0.386 0.386 0.843
Tl 0.500 0.500 0.500

Summary:
Total energy (eV per cell): -7.1
Formation enthalpy at 0 K (eV per atom): 0.0658
Total magnetization (μB per formula unit): 0.0
DOS at the Fermi energy (states/eV per cell): 2.5



(3)
Crystalline Tl3Cd4In2Hg2 at its relaxed geometry. Source: the Alexandria database, functional PBE-GGA.

Cell lengths 5.298, 5.298, 12.697 Å; angles 90.00, 90.00, 120.00 degrees
Fractional positions:
Tl 0.000 0.000 0.716
Tl 0.000 0.000 0.284
Tl 0.000 0.000 0.000
Cd 0.667 0.333 0.609
Cd 0.333 0.667 0.866
Cd 0.667 0.333 0.134
Cd 0.333 0.667 0.391
In 0.667 0.333 0.866
Hg 0.333 0.667 0.618
Hg 0.667 0.333 0.382
In 0.333 0.667 0.134

Summary:
Total energy (eV per cell): -16.3
Formation enthalpy at 0 K (eV per atom): 0.0486
Total magnetization (μB per formula unit): 0.0
DOS at the Fermi energy (states/eV per cell): 6.8



(4)
Crystalline Tl5CdInHg2 at its relaxed geometry. Source: the Alexandria database, functional PBE-GGA.

Cell lengths 4.874, 10.516, 10.728 Å; angles 90.00, 90.00, 103.40 degrees
Fractional positions:
Tl 0.338 0.676 0.040
Hg 0.117 0.235 0.738
Cd 0.841 0.683 0.528
Tl 0.986 0.971 0.016
In 0.423 0.847 0.411
Hg 0.881 0.762 0.809
Tl 0.536 0.072 0.215
Tl 0.268 0.537 0.378
Tl 0.014 0.029 0.516
Cd 0.159 0.317 0.028
Hg 0.883 0.765 0.238
Tl 0.464 0.928 0.715
In 0.577 0.153 0.911
Tl 0.719 0.439 0.189
Tl 0.281 0.561 0.689
Tl 0.732 0.463 0.878
Tl 0.662 0.324 0.540
Hg 0.119 0.238 0.309

Summary:
Total energy (eV per cell): -31.6
Formation enthalpy at 0 K (eV per atom): 0.0313
Total magnetization (μB per formula unit): 0.0
DOS at the Fermi energy (states/eV per cell): 7.6



(5)
Crystalline TlCd2InHg8 at its relaxed geometry. Source: the Alexandria database, functional PBE-GGA.

Cell lengths 6.767, 6.767, 8.724 Å; angles 90.00, 90.00, 120.00 degrees
Fractional positions:
Hg 0.635 0.817 0.239
In 0.000 0.000 0.000
Cd 0.333 0.667 0.918
Tl 0.000 0.000 0.500
Cd 0.667 0.333 0.082
Hg 0.183 0.817 0.239
Hg 0.817 0.635 0.761
Hg 0.817 0.183 0.761
Hg 0.183 0.365 0.239
Hg 0.365 0.183 0.761
Hg 0.667 0.333 0.429
Hg 0.333 0.667 0.571

Summary:
Total energy (eV per cell): -8.5
Formation enthalpy at 0 K (eV per atom): 0.0699
Total magnetization (μB per formula unit): 0.0
DOS at the Fermi energy (states/eV per cell): 3.7



(6)
Crystalline TlCd2In6Hg2 at its relaxed geometry. Source: the Alexandria database, functional PBE-GGA.

Cell lengths 7.334, 8.780, 8.684 Å; angles 131.46, 92.08, 57.17 degrees
Fractional positions:
Hg 0.844 0.342 0.170
In 0.334 0.835 0.670
Hg 0.156 0.658 0.830
In 0.666 0.165 0.330
In 0.082 0.589 0.414
In 0.918 0.411 0.586
Cd 0.781 0.263 0.776
Tl 0.500 0.000 0.500
In 0.418 0.900 0.076
Cd 0.219 0.737 0.224
In 0.582 0.100 0.924

Summary:
Total energy (eV per cell): -20.8
Formation enthalpy at 0 K (eV per atom): 0.0384
Total magnetization (μB per formula unit): 0.0
DOS at the Fermi energy (states/eV per cell): 4.0



(7)
Crystalline Tl2Cd2InHg5 at its relaxed geometry. Source: the Alexandria database, functional PBE-GGA.

Cell lengths 4.134, 11.589, 11.589 Å; angles 90.00, 90.00, 90.00 degrees
Fractional positions:
Hg 0.500 0.691 0.436
In 0.000 0.500 0.500
Hg 0.500 0.500 0.000
Cd 0.000 0.363 0.137
Hg 0.500 0.309 0.564
Cd 0.000 0.863 0.363
Hg 0.500 0.000 0.500
Hg 0.500 0.436 0.309
Cd 0.000 0.637 0.863
Hg 0.500 0.809 0.936
Tl 0.000 0.834 0.666
Tl 0.000 0.166 0.334
Hg 0.500 0.064 0.809
Tl 0.000 0.334 0.834
Tl 0.000 0.666 0.166
Cd 0.000 0.137 0.637
Hg 0.500 0.564 0.691
Hg 0.500 0.936 0.191
Hg 0.500 0.191 0.064
In 0.000 0.000 0.000

Summary:
Total energy (eV per cell): -21.2
Formation enthalpy at 0 K (eV per atom): 0.0188
Total magnetization (μB per formula unit): 0.0
DOS at the Fermi energy (states/eV per cell): 8.7



(8)
Crystalline TlCdInHg6 at its relaxed geometry. Source: the Alexandria database, functional PBE-GGA.

Cell lengths 8.019, 10.313, 9.099 Å; angles 124.52, 116.15, 90.00 degrees
Fractional positions:
Hg 0.414 0.164 0.828
Hg 0.319 0.605 0.266
Hg 0.053 0.839 0.734
Hg 0.586 0.836 0.172
Hg 0.681 0.395 0.734
Tl 0.307 0.557 0.614
Hg 0.947 0.605 0.266
Hg 0.053 0.395 0.734
Hg 0.025 0.775 0.050
Cd 0.500 0.000 0.500
Tl 0.693 0.443 0.386
In 0.500 0.500 0.000
In 0.500 0.000 0.000
Hg 0.681 0.839 0.734
Hg 0.947 0.161 0.266
Cd 0.000 0.000 0.500
Hg 0.319 0.161 0.266
Hg 0.975 0.225 0.950

Summary:
Total energy (eV per cell): -14.9
Formation enthalpy at 0 K (eV per atom): 0.0405
Total magnetization (μB per formula unit): 0.0
DOS at the Fermi energy (states/eV per cell): 5.9



(9)
Crystalline Tl2Cd2InHg6 at its relaxed geometry. Source: the Alexandria database, functional PBE-GGA.

Cell lengths 6.173, 7.029, 8.309 Å; angles 107.61, 90.00, 116.05 degrees
Fractional positions:
Cd 0.065 0.130 0.388
Hg 0.656 0.813 0.086
Tl 0.303 0.607 0.694
Hg 0.254 0.508 0.254
In 0.500 0.000 0.500
Hg 0.843 0.187 0.914
Hg 0.157 0.813 0.086
Cd 0.935 0.870 0.612
Tl 0.697 0.393 0.306
Hg 0.746 0.492 0.746
Hg 0.344 0.187 0.914

Summary:
Total energy (eV per cell): -10.8
Formation enthalpy at 0 K (eV per atom): 0.0296
Total magnetization (μB per formula unit): 0.0
DOS at the Fermi energy (states/eV per cell): 4.2



(10)
Crystalline TlCdIn2Hg6 at its relaxed geometry. Source: the Alexandria database, functional PBE-GGA.

Cell lengths 6.959, 8.887, 9.042 Å; angles 90.00, 94.07, 90.00 degrees
Fractional positions:
Hg 0.436 0.655 0.425
Hg 0.268 0.829 0.716
In 0.347 0.363 0.244
Hg 0.732 0.171 0.284
Hg 0.564 0.345 0.575
Hg 0.879 0.848 0.529
Hg 0.064 0.155 0.075
Tl 0.500 0.000 0.000
In 0.153 0.863 0.256
Cd 0.500 0.000 0.500
Tl 0.000 0.500 0.500
Hg 0.121 0.152 0.471
Hg 0.379 0.652 0.029
In 0.653 0.637 0.756
Hg 0.768 0.671 0.216
In 0.847 0.137 0.744
Hg 0.232 0.329 0.784
Hg 0.621 0.348 0.971
Hg 0.936 0.845 0.925
Cd 0.000 0.500 0.000

Summary:
Total energy (eV per cell): -20.6
Formation enthalpy at 0 K (eV per atom): 0.0259
Total magnetization (μB per formula unit): 0.0
DOS at the Fermi energy (states/eV per cell): 4.4



(11)
Crystalline TlCd4InHg2 at its relaxed geometry. Source: the Alexandria database, functional PBE-GGA.

Cell lengths 4.258, 8.947, 5.784 Å; angles 72.30, 90.00, 90.00 degrees
Fractional positions:
Hg 0.500 0.000 0.500
In 0.500 0.500 0.000
Cd 0.500 0.239 0.761
Cd 0.000 0.243 0.246
Cd 0.000 0.757 0.754
Hg 0.000 0.000 0.000
Tl 0.000 0.500 0.500
Cd 0.500 0.761 0.239

Summary:
Total energy (eV per cell): -8.9
Formation enthalpy at 0 K (eV per atom): 0.0529
Total magnetization (μB per formula unit): 0.0
DOS at the Fermi energy (states/eV per cell): 2.9



(12)
Crystalline Tl2Cd2InHg7 at its relaxed geometry. Source: the Alexandria database, functional PBE-GGA.

Cell lengths 4.559, 4.559, 15.967 Å; angles 89.14, 89.14, 88.80 degrees
Fractional positions:
Cd 0.417 0.417 0.294
Hg 0.070 0.568 0.840
Hg 0.276 0.276 0.475
Hg 0.930 0.432 0.160
Tl 0.096 0.096 0.661
In 0.000 0.000 0.000
Tl 0.904 0.904 0.339
Hg 0.432 0.930 0.160
Hg 0.500 0.500 0.000
Hg 0.724 0.724 0.525
Hg 0.568 0.070 0.840
Cd 0.583 0.583 0.706

Summary:
Total energy (eV per cell): -11.2
Formation enthalpy at 0 K (eV per atom): 0.0209
Total magnetization (μB per formula unit): 0.0
DOS at the Fermi energy (states/eV per cell): 3.7



Q: What is the DOS at the Fermi energy in the fourth record?
A: 7.6 states/eV per cell